Record 1
The following is a PBE-GGA calculation of a relaxed structure of Tl2ZnTc, from Alexandria via LeMat-Bulk.

Calculated values
E = -3.582 eV/atom
Crystal system = orthorhombic

abc: 3.502 4.540 10.063
angles: 90.00 90.00 90.00
Space group Imm2 (No. 44)
Unique sites:
Tl 0.000 0.000 0.000 [2 per cell]
Tl 0.000 0.500 0.223 [2 per cell]
Zn 0.000 0.000 0.441 [2 per cell]
Tc 0.000 0.500 0.747 [2 per cell]


Record 2
The following is a PBE-GGA calculation of a relaxed structure of Tl2ZnTc, from Alexandria via LeMat-Bulk.

Calculated values
E = -3.626 eV/atom
Crystal system = monoclinic

abc: 3.689 4.203 5.600
angles: 90.00 109.13 90.00
Space group Pm (No. 6)
Unique sites:
Tl 0.000 0.000 0.000 [1 per cell]
Tl 0.298 0.500 0.597 [1 per cell]
Zn 0.583 0.500 0.167 [1 per cell]
Tc 0.726 0.000 0.452 [1 per cell]


Record 3
The following is a PBE-GGA calculation of a relaxed structure of TlZnTc2, from Alexandria via LeMat-Bulk.

Calculated values
E = -5.481 eV/atom
Crystal system = trigonal

abc: 2.9322 2.9322 26.7979
angles: 90.00 90.00 120.00
Space group R-3m (No. 166, hexagonal axes)
Unique sites:
Tl 0.0000 0.0000 0.0000 [3 per cell]
Zn 0.0000 0.0000 0.5000 [3 per cell]
Tc 0.0000 0.0000 0.2450 [6 per cell]


Record 4
The following is a PBE-GGA calculation of a relaxed structure of TlZnTc2, from Alexandria via LeMat-Bulk.

Calculated values
E = -5.428 eV/atom
Crystal system = tetragonal

abc: 3.942 3.942 19.271
angles: 90.00 90.00 90.00
Space group I-42d (No. 122)
Unique sites:
Tl 0.000 0.000 0.000 [4 per cell]
Zn 0.000 0.000 0.500 [4 per cell]
Tc 0.170 0.250 0.625 [8 per cell]